A relaxed CeSm7Ho3 crystal. Source: Alexandria, functional PBE-GGA.

## Properties
DFT total energy (eV per cell): -50.007
ΔE_f (eV/atom): 0.245
Density of states at the Fermi level (states/eV per atom): 1.76

a b c (Å): 8.479 8.479 8.479
angles (deg): 139.78 97.37 96.21
Atoms (fractional coordinates):
Ce  0.000  0.000  0.000
Sm  0.000  0.500  0.500
Sm  0.096  0.295  0.802
Sm  0.286  0.000  0.286
Sm  0.493  0.295  0.198
Sm  0.507  0.705  0.802
Sm  0.714  0.000  0.714
Sm  0.904  0.705  0.198
Ho  0.298  0.798  0.500
Ho  0.500  0.500  0.000
Ho  0.702  0.202  0.500

A relaxed CeSmHo4 crystal. Source: Alexandria, functional PBE-GGA.

## Properties
DFT total energy (eV per cell): -56.761
ΔE_f (eV/atom): 0.097
Density of states at the Fermi level (states/eV per atom): 1.89

a b c (Å): 5.629 6.876 9.747
angles (deg): 90.00 90.00 90.00
Atoms (fractional coordinates):
Ce  0.000  0.000  0.000
Ce  0.500  0.500  0.500
Sm  0.000  0.500  0.000
Sm  0.500  0.000  0.500
Ho  0.000  0.249  0.333
Ho  0.000  0.249  0.667
Ho  0.000  0.751  0.333
Ho  0.000  0.751  0.667
Ho  0.500  0.251  0.167
Ho  0.500  0.251  0.833
Ho  0.500  0.749  0.167
Ho  0.500  0.749  0.833

A relaxed CeSm6Ho crystal. Source: Alexandria, functional PBE-GGA.

## Properties
DFT total energy (eV per cell): -38.454
Polymorph energy (0 for the lowest one) (eV/atom): 0.000
ΔE_f (eV/atom): 0.047
Density of states at the Fermi level (states/eV per atom): 1.85

a b c (Å): 8.828 8.066 6.237
angles (deg): 75.01 61.96 43.03
Atoms (fractional coordinates):
Ce  0.000  0.000  0.000
Sm  0.123  0.123  0.377
Sm  0.248  0.248  0.752
Sm  0.377  0.377  0.123
Sm  0.623  0.623  0.877
Sm  0.752  0.752  0.248
Sm  0.877  0.877  0.623
Ho  0.500  0.500  0.500

A relaxed CeSm2Ho crystal. Source: Alexandria, functional PBE-GGA.

## Properties
DFT total energy (eV per cell): -59.094
Polymorph energy (0 for the lowest one) (eV/atom): 0.000
ΔE_f (eV/atom): 0.063
Density of states at the Fermi level (states/eV per atom): 1.80

a b c (Å): 3.568 3.568 34.930
angles (deg): 90.00 90.00 120.00
Atoms (fractional coordinates):
Ce  0.000  0.000  0.000
Ce  0.333  0.667  0.667
Ce  0.667  0.333  0.333
Sm  0.000  0.000  0.583
Sm  0.000  0.000  0.750
Sm  0.333  0.667  0.249
Sm  0.333  0.667  0.416
Sm  0.667  0.333  0.083
Sm  0.667  0.333  0.916
Ho  0.000  0.000  0.166
Ho  0.333  0.667  0.833
Ho  0.667  0.333  0.500

A relaxed CeSmHo5 crystal. Source: Alexandria, functional PBE-GGA.

## Properties
DFT total energy (eV per cell): -63.952
ΔE_f (eV/atom): 0.224
Density of states at the Fermi level (states/eV per atom): 2.13

a b c (Å): 6.259 6.259 13.097
angles (deg): 94.14 94.14 62.82
Atoms (fractional coordinates):
Ce  0.000  0.000  0.000
Ce  0.000  0.000  0.500
Sm  0.247  0.753  0.750
Sm  0.753  0.247  0.250
Ho  0.234  0.766  0.250
Ho  0.243  0.258  0.162
Ho  0.258  0.243  0.662
Ho  0.327  0.342  0.422
Ho  0.342  0.327  0.922
Ho  0.658  0.673  0.078
Ho  0.673  0.658  0.578
Ho  0.742  0.757  0.338
Ho  0.757  0.742  0.838
Ho  0.766  0.234  0.750

A relaxed CeSm4Ho10 crystal. Source: Alexandria, functional PBE-GGA.

## Properties
DFT total energy (eV per cell): -66.680
ΔE_f (eV/atom): 0.261
Density of states at the Fermi level (states/eV per atom): 1.31

a b c (Å): 8.833 8.833 8.833
angles (deg): 101.71 101.71 126.45
Atoms (fractional coordinates):
Ce  0.000  0.000  0.000
Sm  0.226  0.226  0.453
Sm  0.226  0.774  0.000
Sm  0.774  0.226  0.000
Sm  0.774  0.774  0.547
Ho  0.087  0.294  0.793
Ho  0.250  0.750  0.500
Ho  0.294  0.087  0.793
Ho  0.294  0.501  0.207
Ho  0.499  0.706  0.793
Ho  0.501  0.294  0.207
Ho  0.706  0.499  0.793
Ho  0.706  0.913  0.207
Ho  0.750  0.250  0.500
Ho  0.913  0.706  0.207

A relaxed CeSm4Ho crystal. Source: Alexandria, functional PBE-GGA.

## Properties
DFT total energy (eV per cell): -58.059
Polymorph energy (0 for the lowest one) (eV/atom): 0.000
ΔE_f (eV/atom): 0.060
Density of states at the Fermi level (states/eV per atom): 2.04

a b c (Å): 6.224 10.801 6.217
angles (deg): 90.00 109.45 90.00
Atoms (fractional coordinates):
Ce  0.000  0.000  0.000
Ce  0.500  0.500  0.000
Sm  0.000  0.164  0.500
Sm  0.000  0.334  0.000
Sm  0.000  0.666  0.000
Sm  0.000  0.836  0.500
Sm  0.500  0.166  0.000
Sm  0.500  0.336  0.500
Sm  0.500  0.664  0.500
Sm  0.500  0.834  0.000
Ho  0.000  0.500  0.500
Ho  0.500  0.000  0.500

A relaxed CeSm8Ho2 crystal. Source: Alexandria, functional PBE-GGA.

## Properties
DFT total energy (eV per cell): -52.414
Polymorph energy (0 for the lowest one) (eV/atom): 0.000
ΔE_f (eV/atom): 0.039
Density of states at the Fermi level (states/eV per atom): 1.71

a b c (Å): 9.531 9.531 8.053
angles (deg): 104.70 104.70 31.01
Atoms (fractional coordinates):
Ce  0.000  0.000  0.000
Sm  0.091  0.091  0.454
Sm  0.181  0.181  0.910
Sm  0.364  0.364  0.817
Sm  0.454  0.454  0.269
Sm  0.546  0.546  0.731
Sm  0.636  0.636  0.183
Sm  0.819  0.819  0.090
Sm  0.909  0.909  0.546
Ho  0.272  0.272  0.364
Ho  0.728  0.728  0.636

A relaxed CeSmHo crystal. Source: Alexandria, functional PBE-GGA.

## Properties
DFT total energy (eV per cell): -30.009
Polymorph energy (0 for the lowest one) (eV/atom): 0.005
ΔE_f (eV/atom): 0.075
Density of states at the Fermi level (states/eV per atom): 2.10

a b c (Å): 3.539 3.539 14.935
angles (deg): 90.00 90.00 90.00
Atoms (fractional coordinates):
Ce  0.000  0.000  0.000
Ce  0.500  0.500  0.500
Sm  0.000  0.000  0.663
Sm  0.500  0.500  0.163
Ho  0.000  0.000  0.341
Ho  0.500  0.500  0.841

A relaxed CeSm4Ho crystal. Source: Alexandria, functional PBE-GGA.

## Properties
DFT total energy (eV per cell): -55.604
Polymorph energy (0 for the lowest one) (eV/atom): 0.205
ΔE_f (eV/atom): 0.264
Density of states at the Fermi level (states/eV per atom): 2.51

a b c (Å): 8.444 8.444 8.444
angles (deg): 133.34 92.48 105.69
Atoms (fractional coordinates):
Ce  0.000  0.000  0.000
Ce  0.500  0.000  0.500
Sm  0.170  0.170  0.500
Sm  0.170  0.666  0.503
Sm  0.170  0.671  0.000
Sm  0.337  0.334  0.003
Sm  0.663  0.666  0.997
Sm  0.830  0.329  0.000
Sm  0.830  0.334  0.497
Sm  0.830  0.830  0.500
Ho  0.500  0.000  0.000
Ho  0.500  0.500  0.500

A relaxed CeSm4Ho7 crystal. Source: Alexandria, functional PBE-GGA.

## Properties
DFT total energy (eV per cell): -55.028
Polymorph energy (0 for the lowest one) (eV/atom): 0.000
ΔE_f (eV/atom): 0.152
Density of states at the Fermi level (states/eV per atom): 1.83

a b c (Å): 5.968 6.900 10.030
angles (deg): 110.06 90.35 90.01
Atoms (fractional coordinates):
Ce  0.000  0.000  0.000
Sm  0.254  0.137  0.728
Sm  0.254  0.591  0.728
Sm  0.746  0.409  0.272
Sm  0.746  0.863  0.272
Ho  0.245  0.716  0.431
Ho  0.250  0.540  0.080
Ho  0.252  0.187  0.372
Ho  0.500  0.000  0.000
Ho  0.748  0.813  0.628
Ho  0.750  0.460  0.920
Ho  0.755  0.284  0.569

A relaxed CeSm7Ho4 crystal. Source: Alexandria, functional PBE-GGA.

## Properties
DFT total energy (eV per cell): -55.527
Polymorph energy (0 for the lowest one) (eV/atom): 0.000
ΔE_f (eV/atom): 0.146
Density of states at the Fermi level (states/eV per atom): 1.98

a b c (Å): 10.060 10.060 5.989
angles (deg): 90.22 90.22 40.80
Atoms (fractional coordinates):
Ce  0.000  0.000  0.000
Sm  0.000  0.000  0.500
Sm  0.187  0.187  0.748
Sm  0.288  0.288  0.248
Sm  0.463  0.463  0.248
Sm  0.537  0.537  0.752
Sm  0.712  0.712  0.752
Sm  0.813  0.813  0.252
Ho  0.131  0.596  0.751
Ho  0.404  0.869  0.249
Ho  0.596  0.131  0.751
Ho  0.869  0.404  0.249

A relaxed CeSm6Ho8 crystal. Source: Alexandria, functional PBE-GGA.

## Properties
DFT total energy (eV per cell): -68.959
ΔE_f (eV/atom): 0.127
Density of states at the Fermi level (states/eV per atom): 1.68

a b c (Å): 8.648 8.648 8.648
angles (deg): 63.07 63.07 63.07
Atoms (fractional coordinates):
Ce  0.000  0.000  0.000
Sm  0.105  0.540  0.227
Sm  0.227  0.105  0.540
Sm  0.460  0.773  0.895
Sm  0.540  0.227  0.105
Sm  0.773  0.895  0.460
Sm  0.895  0.460  0.773
Ho  0.112  0.717  0.752
Ho  0.248  0.888  0.283
Ho  0.283  0.248  0.888
Ho  0.423  0.423  0.423
Ho  0.577  0.577  0.577
Ho  0.717  0.752  0.112
Ho  0.752  0.112  0.717
Ho  0.888  0.283  0.248

A relaxed CeSm3Ho3 crystal. Source: Alexandria, functional PBE-GGA.

## Properties
DFT total energy (eV per cell): -64.635
ΔE_f (eV/atom): 0.215
Density of states at the Fermi level (states/eV per atom): 2.21

a b c (Å): 8.103 8.103 7.149
angles (deg): 90.00 90.00 89.56
Atoms (fractional coordinates):
Ce  0.208  0.208  0.001
Ce  0.792  0.792  0.999
Sm  0.001  0.499  0.753
Sm  0.499  0.001  0.753
Sm  0.500  0.500  0.251
Sm  0.500  0.500  0.749
Sm  0.501  0.999  0.247
Sm  0.999  0.501  0.247
Ho  0.210  0.790  0.500
Ho  0.217  0.217  0.499
Ho  0.219  0.781  0.000
Ho  0.781  0.219  0.000
Ho  0.783  0.783  0.501
Ho  0.790  0.210  0.500

A relaxed CeSm2Ho4 crystal. Source: Alexandria, functional PBE-GGA.

## Properties
DFT total energy (eV per cell): -66.820
Polymorph energy (0 for the lowest one) (eV/atom): 0.000
ΔE_f (eV/atom): 0.039
Density of states at the Fermi level (states/eV per atom): 1.86

a b c (Å): 6.204 3.578 20.200
angles (deg): 90.00 95.93 90.00
Atoms (fractional coordinates):
Ce  0.000  0.000  0.000
Ce  0.500  0.500  0.000
Sm  0.091  0.000  0.286
Sm  0.180  0.000  0.573
Sm  0.591  0.500  0.286
Sm  0.680  0.500  0.573
Ho  0.280  0.000  0.857
Ho  0.304  0.500  0.429
Ho  0.375  0.000  0.143
Ho  0.401  0.500  0.718
Ho  0.780  0.500  0.857
Ho  0.804  0.000  0.429
Ho  0.875  0.500  0.143
Ho  0.901  0.000  0.718

A relaxed CeSm5Ho12 crystal. Source: Alexandria, functional PBE-GGA.

## Properties
DFT total energy (eV per cell): -83.906
ΔE_f (eV/atom): 0.031
Density of states at the Fermi level (states/eV per atom): 1.48

a b c (Å): 10.660 10.660 6.155
angles (deg): 106.68 106.68 59.99
Atoms (fractional coordinates):
Ce  0.000  0.000  0.000
Sm  0.166  0.166  0.495
Sm  0.333  0.333  0.000
Sm  0.500  0.500  0.500
Sm  0.667  0.667  0.000
Sm  0.834  0.834  0.505
Ho  0.001  0.667  0.000
Ho  0.166  0.500  0.500
Ho  0.166  0.834  0.500
Ho  0.331  0.669  0.000
Ho  0.333  0.999  0.000
Ho  0.500  0.166  0.500
Ho  0.500  0.834  0.500
Ho  0.667  0.001  0.000
Ho  0.669  0.331  0.000
Ho  0.834  0.166  0.500
Ho  0.834  0.500  0.500
Ho  0.999  0.333  0.000

A relaxed CeSm3Ho8 crystal. Source: Alexandria, functional PBE-GGA.

## Properties
DFT total energy (eV per cell): -49.339
ΔE_f (eV/atom): 0.615
Density of states at the Fermi level (states/eV per atom): 1.58

a b c (Å): 8.328 8.328 8.328
angles (deg): 117.34 117.34 94.68
Atoms (fractional coordinates):
Ce  0.000  0.000  0.000
Sm  0.250  0.750  0.500
Sm  0.500  0.500  0.000
Sm  0.750  0.250  0.500
Ho  0.111  0.361  0.000
Ho  0.203  0.738  0.000
Ho  0.262  0.262  0.465
Ho  0.361  0.111  0.000
Ho  0.639  0.639  0.750
Ho  0.738  0.203  0.000
Ho  0.797  0.797  0.535
Ho  0.889  0.889  0.250

A relaxed CeSm2Ho crystal. Source: Alexandria, functional PBE-GGA.

## Properties
DFT total energy (eV per cell): -76.647
Polymorph energy (0 for the lowest one) (eV/atom): 0.134
ΔE_f (eV/atom): 0.197
Density of states at the Fermi level (states/eV per atom): 2.52

a b c (Å): 8.081 8.081 8.081
angles (deg): 90.00 90.00 90.00
Atoms (fractional coordinates):
Ce  0.000  0.000  0.000
Ce  0.000  0.500  0.500
Ce  0.500  0.000  0.500
Ce  0.500  0.500  0.000
Sm  0.250  0.250  0.250
Sm  0.250  0.250  0.750
Sm  0.250  0.750  0.250
Sm  0.250  0.750  0.750
Sm  0.750  0.250  0.250
Sm  0.750  0.250  0.750
Sm  0.750  0.750  0.250
Sm  0.750  0.750  0.750
Ho  0.000  0.000  0.500
Ho  0.000  0.500  0.000
Ho  0.500  0.000  0.000
Ho  0.500  0.500  0.500

A relaxed CeSm2Ho crystal. Source: Alexandria, functional PBE-GGA.

## Properties
DFT total energy (eV per cell): -57.675
Polymorph energy (0 for the lowest one) (eV/atom): 0.118
ΔE_f (eV/atom): 0.181
Density of states at the Fermi level (states/eV per atom): 1.94

a b c (Å): 3.447 3.447 37.280
angles (deg): 90.00 90.00 120.00
Atoms (fractional coordinates):
Ce  0.000  0.000  0.000
Ce  0.333  0.667  0.667
Ce  0.667  0.333  0.333
Sm  0.000  0.000  0.089
Sm  0.000  0.000  0.911
Sm  0.333  0.667  0.578
Sm  0.333  0.667  0.755
Sm  0.667  0.333  0.245
Sm  0.667  0.333  0.422
Ho  0.000  0.000  0.500
Ho  0.333  0.667  0.167
Ho  0.667  0.333  0.833

A relaxed CeSm3Ho6 crystal. Source: Alexandria, functional PBE-GGA.

## Properties
DFT total energy (eV per cell): -92.310
Polymorph energy (0 for the lowest one) (eV/atom): 0.000
ΔE_f (eV/atom): 0.140
Density of states at the Fermi level (states/eV per atom): 1.70

a b c (Å): 14.003 3.553 14.563
angles (deg): 90.00 116.08 90.00
Atoms (fractional coordinates):
Ce  0.197  0.250  0.461
Ce  0.803  0.750  0.539
Sm  0.091  0.750  0.623
Sm  0.139  0.250  0.085
Sm  0.398  0.750  0.147
Sm  0.602  0.250  0.853
Sm  0.861  0.750  0.915
Sm  0.909  0.250  0.377
Ho  0.040  0.750  0.240
Ho  0.179  0.750  0.895
Ho  0.301  0.750  0.318
Ho  0.330  0.250  0.702
Ho  0.393  0.250  0.938
Ho  0.456  0.750  0.582
Ho  0.544  0.250  0.418
Ho  0.607  0.750  0.062
Ho  0.670  0.750  0.298
Ho  0.699  0.250  0.682
Ho  0.821  0.250  0.105
Ho  0.960  0.250  0.760